# Mg4InSnH (PBE, relaxed)
# space group = Cmcm (63)
# total DFT energy (no corrections) = -2.412 eV/atom
data_Mg4InSnH
_chemical_formula_sum 'Mg8 In2 Sn2 H2'
_space_group_name_H-M_alt 'P 1'
_space_group_IT_number 1
_space_group_name_Hall 'P 1'
_cell_length_a 6.2972
_cell_length_b 6.2033
_cell_length_c 8.0693
_cell_angle_alpha 90.00
_cell_angle_beta 112.97
_cell_angle_gamma 90.00
loop_
_atom_site_label
_atom_site_fract_x
_atom_site_fract_y
_atom_site_fract_z
_atom_site_occupancy
Mg1 0.4103 0.7500 0.8206 1
Mg2 0.0000 0.0000 0.5000 1
Mg3 0.5000 0.0000 0.5000 1
Mg4 0.5897 0.2500 0.1794 1
Mg5 0.0000 0.5000 0.5000 1
Mg6 0.9152 0.2500 0.8305 1
Mg7 0.0848 0.7500 0.1695 1
Mg8 0.5000 0.5000 0.5000 1
In1 0.6069 0.7500 0.2138 1
In2 0.3931 0.2500 0.7862 1
H1 0.7419 0.2500 0.4838 1
H2 0.2581 0.7500 0.5162 1
Sn1 0.1119 0.2500 0.2239 1
Sn2 0.8881 0.7500 0.7761 1